# 1
The following is a DFT calculation (PBE) of crystalline Er4TlAg at its relaxed geometry.

a b c (Å): 3.566 3.566 12.876
angles (deg): 90.00 90.00 90.00
Space group P4/mmm (No. 123)
Inequivalent atoms, fractional coordinates:
Er: 0.000 0.000 0.144 x2
Er: 0.500 0.500 0.336 x2
Tl: 0.000 0.000 0.500 x1
Ag: 0.500 0.500 0.000 x1

total magnetic moment	0.73	μB per formula unit
final energy	-4.113	eV per atom
calculated volume	163.77	Å³/cell
formation energy from the elements	-0.2016	eV/atom
energy relative to the lowest polymorph listed for this composition	0	kJ/mol of formula units

# 2
The following is a DFT calculation (PBE) of crystalline TlFeGe at its relaxed geometry.

a b c (Å): 4.178 4.178 6.937
angles (deg): 90.00 90.00 90.00
Space group P4/nmm (No. 129, origin choice 2)
Inequivalent atoms, fractional coordinates:
Tl: 0.250 0.250 0.150 x2
Fe: 0.250 0.750 0.500 x2
Ge: 0.250 0.250 0.648 x2

total magnetic moment	0.28	μB per formula unit
final energy	-4.935	eV per atom
calculated volume	121.11	Å³/cell
formation energy from the elements	0.2134	eV/atom

# 3
The following is a DFT calculation (PBE) of crystalline Pm12Sn5Os2 at its relaxed geometry.

a b c (Å): 17.665 7.760 9.934
angles (deg): 90.00 106.05 90.00
Space group C2/m (No. 12)
Inequivalent atoms, fractional coordinates:
Pm: 0.003 0.000 0.238 x4
Pm: 0.003 0.500 0.825 x4
Pm: 0.149 0.252 0.573 x8
Pm: 0.161 0.236 0.081 x8
Sn: 0.000 0.500 0.500 x2
Sn: 0.191 0.000 0.833 x4
Sn: 0.198 0.000 0.361 x4
Os: 0.000 0.207 0.000 x4

total magnetic moment	0.01	μB per formula unit
final energy	-5.570	eV per atom
calculated volume	1308.66	Å³/cell
formation energy from the elements	-0.3341	eV/atom

# 4
The following is a DFT calculation (PBE) of crystalline KTl2Cd at its relaxed geometry.

a b c (Å): 3.803 6.092 11.307
angles (deg): 90.00 90.00 90.00
Space group Immm (No. 71)
Inequivalent atoms, fractional coordinates:
K: 0.000 0.000 0.000 x2
Tl: 0.000 0.500 0.222 x4
Cd: 0.000 0.000 0.500 x2

total magnetic moment	0.00	μB per formula unit
final energy	-1.733	eV per atom
calculated volume	261.91	Å³/cell
formation energy from the elements	-0.0467	eV/atom

# 5
The following is a DFT calculation (PBE) of crystalline Li2Ag2Te at its relaxed geometry.

a b c (Å): 7.258 7.258 3.952
angles (deg): 90.00 90.00 90.00
Space group P4/mbm (No. 127)
Inequivalent atoms, fractional coordinates:
Li: 0.166 0.334 0.000 x4
Ag: 0.131 0.631 0.500 x4
Te: 0.000 0.000 0.500 x2

total magnetic moment	0.00	μB per formula unit
final energy	-2.788	eV per atom
calculated volume	208.16	Å³/cell
formation energy from raw total energies	-0.254	eV per atom